(1)
# Na2LiNpCl6 PBE optimized geometry
data_Na2LiNpCl6
_cell_length_a 7.447
_cell_length_b 7.447
_cell_length_c 7.447
_cell_angle_alpha 55.63
_cell_angle_beta 55.63
_cell_angle_gamma 55.63
_symmetry_space_group_name_H-M 'P 1'
_symmetry_Int_Tables_number 1
loop_
_symmetry_equiv_pos_as_xyz
'x,y,z'
loop_
_atom_site_label
_atom_site_fract_x
_atom_site_fract_y
_atom_site_fract_z
Na1 0.000 0.000 0.000
Na2 0.498 0.498 0.498
Li1 0.205 0.205 0.205
Np1 0.698 0.698 0.698
Cl1 0.081 0.421 0.821
Cl2 0.312 0.926 0.575
Cl3 0.421 0.821 0.081
Cl4 0.575 0.312 0.926
Cl5 0.821 0.081 0.421
Cl6 0.926 0.575 0.312
# Total magnetic moment ... 4.00 Bohr magnetons per cell

(2)
# NaLi2ClO PBE optimized geometry
data_NaLi2ClO
_cell_length_a 3.891
_cell_length_b 3.891
_cell_length_c 4.712
_cell_angle_alpha 90.00
_cell_angle_beta 90.00
_cell_angle_gamma 90.00
_symmetry_space_group_name_H-M 'P 1'
_symmetry_Int_Tables_number 1
loop_
_symmetry_equiv_pos_as_xyz
'x,y,z'
loop_
_atom_site_label
_atom_site_fract_x
_atom_site_fract_y
_atom_site_fract_z
Na1 0.000 0.000 0.000
Li1 0.000 0.500 0.500
Li2 0.500 0.000 0.500
Cl1 0.500 0.500 0.000
O1 0.000 0.000 0.500
# Total magnetic moment ... 0.05 Bohr magnetons per cell

(3)
# NaLi2OsCl8 PBE optimized geometry
data_NaLi2OsCl8
_cell_length_a 6.159
_cell_length_b 7.215
_cell_length_c 8.426
_cell_angle_alpha 67.00
_cell_angle_beta 85.67
_cell_angle_gamma 78.18
_symmetry_space_group_name_H-M 'P 1'
_symmetry_Int_Tables_number 1
loop_
_symmetry_equiv_pos_as_xyz
'x,y,z'
loop_
_atom_site_label
_atom_site_fract_x
_atom_site_fract_y
_atom_site_fract_z
Na1 0.000 0.000 0.000
Li1 0.491 0.350 0.177
Li2 0.509 0.650 0.823
Os1 0.000 0.000 0.500
Cl1 0.182 0.145 0.240
Cl2 0.195 0.141 0.632
Cl3 0.274 0.704 0.577
Cl4 0.354 0.700 0.065
Cl5 0.646 0.300 0.935
Cl6 0.726 0.296 0.423
Cl7 0.805 0.859 0.368
Cl8 0.818 0.855 0.760
# Total magnetic moment ... 2.89 Bohr magnetons per cell

(4)
# NaLiPCl2 PBE optimized geometry
data_NaLiPCl2
_cell_length_a 4.966
_cell_length_b 4.966
_cell_length_c 4.985
_cell_angle_alpha 90.00
_cell_angle_beta 90.00
_cell_angle_gamma 90.00
_symmetry_space_group_name_H-M 'P 1'
_symmetry_Int_Tables_number 1
loop_
_symmetry_equiv_pos_as_xyz
'x,y,z'
loop_
_atom_site_label
_atom_site_fract_x
_atom_site_fract_y
_atom_site_fract_z
Na1 0.000 0.000 0.000
Li1 0.500 0.500 0.500
P1 0.500 0.500 0.000
Cl1 0.000 0.500 0.500
Cl2 0.500 0.000 0.500
# ΔE to the lowest computed polymorph ... 0.000 eV/atom
# Total magnetic moment ... 3.00 Bohr magnetons per cell

(5)
# NaLiPCl2 PBE optimized geometry
data_NaLiPCl2
_cell_length_a 5.304
_cell_length_b 5.304
_cell_length_c 5.379
_cell_angle_alpha 90.00
_cell_angle_beta 90.00
_cell_angle_gamma 90.00
_symmetry_space_group_name_H-M 'P 1'
_symmetry_Int_Tables_number 1
loop_
_symmetry_equiv_pos_as_xyz
'x,y,z'
loop_
_atom_site_label
_atom_site_fract_x
_atom_site_fract_y
_atom_site_fract_z
Na1 0.000 0.000 0.000
Li1 0.500 0.500 0.500
P1 0.000 0.000 0.500
Cl1 0.000 0.500 0.000
Cl2 0.500 0.000 0.000
# ΔE to the lowest computed polymorph ... 0.241 eV/atom
# Total magnetic moment ... 3.01 Bohr magnetons per cell

(6)
# NaLiPbCl4 PBE optimized geometry
data_NaLiPbCl4
_cell_length_a 8.121
_cell_length_b 8.121
_cell_length_c 8.121
_cell_angle_alpha 121.06
_cell_angle_beta 118.57
_cell_angle_gamma 90.33
_symmetry_space_group_name_H-M 'P 1'
_symmetry_Int_Tables_number 1
loop_
_symmetry_equiv_pos_as_xyz
'x,y,z'
loop_
_atom_site_label
_atom_site_fract_x
_atom_site_fract_y
_atom_site_fract_z
Na1 0.500 0.000 0.000
Na2 0.500 0.500 0.500
Li1 0.111 0.361 0.750
Li2 0.889 0.639 0.250
Pb1 0.000 0.000 0.000
Pb2 0.500 0.000 0.500
Cl1 0.250 0.258 0.508
Cl2 0.250 0.743 0.992
Cl3 0.252 0.748 0.504
Cl4 0.257 0.252 0.004
Cl5 0.743 0.748 0.996
Cl6 0.748 0.252 0.496
Cl7 0.750 0.257 0.008
Cl8 0.750 0.742 0.492
# Total magnetic moment ... 0.00 Bohr magnetons per cell

(7)
# NaLiPbCl6 PBE optimized geometry
data_NaLiPbCl6
_cell_length_a 6.611
_cell_length_b 6.611
_cell_length_c 6.288
_cell_angle_alpha 90.00
_cell_angle_beta 90.00
_cell_angle_gamma 120.00
_symmetry_space_group_name_H-M 'P 1'
_symmetry_Int_Tables_number 1
loop_
_symmetry_equiv_pos_as_xyz
'x,y,z'
loop_
_atom_site_label
_atom_site_fract_x
_atom_site_fract_y
_atom_site_fract_z
Na1 0.000 0.000 0.000
Li1 0.333 0.667 0.500
Pb1 0.667 0.333 0.500
Cl1 0.000 0.359 0.733
Cl2 0.000 0.641 0.267
Cl3 0.359 0.000 0.733
Cl4 0.359 0.359 0.267
Cl5 0.641 0.000 0.267
Cl6 0.641 0.641 0.733
# Total magnetic moment ... 0.00 Bohr magnetons per cell

(8)
# NaLi2PdCl8 PBE optimized geometry
data_NaLi2PdCl8
_cell_length_a 5.543
_cell_length_b 6.218
_cell_length_c 8.099
_cell_angle_alpha 90.01
_cell_angle_beta 90.08
_cell_angle_gamma 95.51
_symmetry_space_group_name_H-M 'P 1'
_symmetry_Int_Tables_number 1
loop_
_symmetry_equiv_pos_as_xyz
'x,y,z'
loop_
_atom_site_label
_atom_site_fract_x
_atom_site_fract_y
_atom_site_fract_z
Na1 0.000 0.000 0.000
Li1 0.499 0.500 0.273
Li2 0.501 0.500 0.727
Pd1 0.000 0.000 0.500
Cl1 0.221 0.853 0.287
Cl2 0.221 0.853 0.714
Cl3 0.254 0.328 0.500
Cl4 0.254 0.477 0.000
Cl5 0.746 0.523 0.000
Cl6 0.746 0.672 0.500
Cl7 0.779 0.147 0.286
Cl8 0.779 0.147 0.713
# Total magnetic moment ... 0.14 Bohr magnetons per cell

| no. | VASP energy (eV/atom) |
| --- | --- |
| 1 | -4.609 |
| 2 | -4.067 |
| 3 | -3.667 |
| 4 | -2.966 |
| 5 | -2.725 |
| 6 | -3.558 |
| 7 | -3.160 |
| 8 | -3.045 |